Below is PmSi2MoO8 after structural relaxation, with properties calculated at the PBE+U level.

Summary:
**E_tot**: -7.647 eV per atom
**Magnetization**: 0.082 μB per atom

abc: 5.2814 5.2814 6.6396
angles: 90.00 90.00 120.00
Space group P-3m1 (No. 164)
Symmetry-distinct sites (fractional):
Pm: 0.0000 0.0000 0.0000 [1 per cell]
Si: 0.3333 0.6667 0.2225 [2 per cell]
Mo: 0.0000 0.0000 0.5000 [1 per cell]
O: 0.1651 0.3302 0.3100 [6 per cell]
O: 0.3333 0.6667 0.9820 [2 per cell]

***

Below is Pm2SmMoO8 after structural relaxation, with properties calculated at the PBE+U level.

Summary:
**E_tot**: -7.657 eV per atom
**Magnetization**: 0.083 μB per atom

abc: 7.298 7.364 6.989
angles: 90.00 90.00 90.00
Space group Cmmm (No. 65)
Symmetry-distinct sites (fractional):
Pm: 0.000 0.000 0.247 [4 per cell]
Sm: 0.000 0.500 0.500 [2 per cell]
Mo: 0.000 0.500 0.000 [2 per cell]
O: 0.000 0.321 0.207 [8 per cell]
O: 0.192 0.000 0.500 [4 per cell]
O: 0.233 0.000 0.000 [4 per cell]

***

Below is PmSm2MoO8 after structural relaxation, with properties calculated at the PBE+U level.

Summary:
**E_tot**: -7.663 eV per atom
**Magnetization**: 0.080 μB per atom

abc: 7.274 7.331 6.993
angles: 90.00 90.00 90.00
Space group Cmmm (No. 65)
Symmetry-distinct sites (fractional):
Pm: 0.000 0.000 0.000 [2 per cell]
Sm: 0.000 0.500 0.254 [4 per cell]
Mo: 0.000 0.000 0.500 [2 per cell]
O: 0.000 0.180 0.294 [8 per cell]
O: 0.190 0.500 0.000 [4 per cell]
O: 0.232 0.500 0.500 [4 per cell]

***

Below is PmSmMo2O8 after structural relaxation, with properties calculated at the PBE+U level.

Summary:
**E_tot**: -7.742 eV per atom
**Magnetization**: 0.167 μB per atom

abc: 5.343 5.343 11.459
angles: 90.00 90.00 90.00
Space group I-4 (No. 82)
Symmetry-distinct sites (fractional):
Pm: 0.000 0.000 0.000 [2 per cell]
Sm: 0.000 0.500 0.250 [2 per cell]
Mo: 0.000 0.000 0.500 [2 per cell]
Mo: 0.000 0.500 0.750 [2 per cell]
O: 0.165 0.256 0.417 [8 per cell]
O: 0.167 0.756 0.832 [8 per cell]

***

Below is Sr2PmMoO6 after structural relaxation, with properties calculated at the PBE+U level.

Summary:
**E_tot**: -7.161 eV per atom
**Magnetization**: 0.100 μB per atom

abc: 5.884 5.996 10.296
angles: 90.00 124.77 90.00
Space group P2_1/c (No. 14)
Symmetry-distinct sites (fractional):
Sr: 0.239 0.043 0.247 [4 per cell]
Pm: 0.000 0.000 0.500 [2 per cell]
Mo: 0.500 0.000 0.000 [2 per cell]
O: 0.174 0.188 0.955 [4 per cell]
O: 0.275 0.730 0.952 [4 per cell]
O: 0.354 0.032 0.767 [4 per cell]

***

Below is SrPmMo2O8 after structural relaxation, with properties calculated at the PBE+U level.

Summary:
**E_tot**: -7.325 eV per atom
**Magnetization**: 0.083 μB per atom

abc: 7.630 7.630 6.791
angles: 90.00 90.00 90.00
Space group I-4m2 (No. 119)
Symmetry-distinct sites (fractional):
Sr: 0.000 0.000 0.000 [2 per cell]
Pm: 0.000 0.500 0.250 [2 per cell]
Mo: 0.000 0.000 0.500 [2 per cell]
Mo: 0.000 0.500 0.750 [2 per cell]
O: 0.000 0.198 0.338 [8 per cell]
O: 0.000 0.319 0.919 [8 per cell]

***

Below is PmTaMoO6 after structural relaxation, with properties calculated at the PBE+U level.

Summary:
**E_tot**: -8.556 eV per atom
**Magnetization**: 0.222 μB per atom

abc: 4.959 4.959 9.878
angles: 90.00 90.00 90.00
Space group P4_2nm (No. 102)
Symmetry-distinct sites (fractional):
Pm: 0.000 0.000 0.000 [2 per cell]
Ta: 0.000 0.000 0.337 [2 per cell]
Mo: 0.000 0.000 0.671 [2 per cell]
O: 0.175 0.175 0.498 [4 per cell]
O: 0.207 0.207 0.192 [4 per cell]
O: 0.216 0.216 0.818 [4 per cell]

***

Below is TbPmMo2O8 after structural relaxation, with properties calculated at the PBE+U level.

Summary:
**E_tot**: -7.712 eV per atom
**Magnetization**: 0.167 μB per atom

abc: 5.309 5.309 11.245
angles: 90.00 90.00 90.00
Space group I-4 (No. 82)
Symmetry-distinct sites (fractional):
Tb: 0.000 0.000 0.000 [2 per cell]
Pm: 0.000 0.500 0.250 [2 per cell]
Mo: 0.000 0.000 0.500 [2 per cell]
Mo: 0.000 0.500 0.750 [2 per cell]
O: 0.171 0.732 0.838 [8 per cell]
O: 0.185 0.263 0.410 [8 per cell]

***

What did the sixth record say?
Below is SrPmMo2O8 after structural relaxation, with properties calculated at the PBE+U level.

Summary:
**E_tot**: -7.325 eV per atom
**Magnetization**: 0.083 μB per atom

abc: 7.630 7.630 6.791
angles: 90.00 90.00 90.00
Space group I-4m2 (No. 119)
Symmetry-distinct sites (fractional):
Sr: 0.000 0.000 0.000 [2 per cell]
Pm: 0.000 0.500 0.250 [2 per cell]
Mo: 0.000 0.000 0.500 [2 per cell]
Mo: 0.000 0.500 0.750 [2 per cell]
O: 0.000 0.198 0.338 [8 per cell]
O: 0.000 0.319 0.919 [8 per cell]